Entry 1:
RbY2MnTe4 (GGA-PBE, optimized geometry); energy = -44.22 eV per formula unit; formation energy (no corrections) = -1.0732 eV/atom; space group = No. 63
1.0
4.423 0.000 0.000
-2.211 7.719 0.000
0.000 0.000 15.556
Rb Y Mn Te
2 4 2 8
Cartesian
0.000 1.742 11.667
2.211 5.977 3.889
0.000 5.702 8.747
2.211 2.017 0.969
2.211 2.017 6.809
0.000 5.702 14.587
2.211 5.158 11.667
0.000 2.561 3.889
0.000 4.079 1.693
2.211 3.641 9.470
2.211 3.641 13.863
0.000 4.079 6.085
0.000 0.000 7.778
0.000 0.000 0.000
0.000 6.709 11.667
2.211 1.010 3.889

Entry 2:
NaDy2Co (GGA-PBE, optimized geometry); energy relative to the elements = -0.030 eV per atom; polymorph energy (0 for the lowest one) = 0 kJ/mol of formula units; energy = -17.75 eV per formula unit; space group = No. 123
1.0
-1.496 -1.402 2.653
2.845 -1.607 0.754
2.698 7.300 5.379
Na Co Dy
1 1 2
Cartesian
2.023 2.145 4.393
0.674 -1.505 1.704
2.241 6.063 4.468
0.457 1.237 0.911

Entry 3:
ZrCr2Cl (GGA-PBE, optimized geometry); polymorph energy (0 for the lowest one) = 154 kJ/mol of formula units; energy = -28.50 eV per formula unit; formation energy (no corrections) = 0.2844 eV/atom; space group = No. 65
1.0
-1.902 -0.298 2.427
-1.790 -0.380 -2.499
1.476 -8.053 0.166
Cr Zr Cl
2 1 1
Cartesian
1.463 -7.984 0.165
0.751 -4.095 0.085
-1.477 -2.352 0.005
-0.739 -6.378 0.088

Entry 4:
BeAl4P (GGA-PBE, optimized geometry); energy relative to the elements = 0.544 eV per atom; energy = -20.84 eV per formula unit; space group = No. 216
1.0
5.032 0.586 1.096
1.544 3.848 3.111
1.756 -1.061 4.760
Be Al P
1 4 1
Cartesian
6.249 2.530 6.725
5.639 1.558 3.912
4.003 0.736 5.741
3.897 3.187 4.917
3.126 1.265 3.364
0.000 0.000 0.000